# BaLa3Ir | the Alexandria database | PBE-GGA | relaxed
data_BaLa3Ir
_cell_length_a 16.122
_cell_length_b 14.288
_cell_length_c 7.790
_cell_angle_alpha 90.00
_cell_angle_beta 117.73
_cell_angle_gamma 90.00
_space_group_name_H-M_alt 'C 1 2/c 1'
_space_group_IT_number 15
loop_
_space_group_symop_operation_xyz
'x,y,z'
'-x,-y,-z'
'-x,y,-z+1/2'
'x,-y,z+1/2'
'x+1/2,y+1/2,z'
'-x+1/2,-y+1/2,-z'
'-x+1/2,y+1/2,-z+1/2'
'x+1/2,-y+1/2,z+1/2'
loop_
_atom_site_label
_atom_site_fract_x
_atom_site_fract_y
_atom_site_fract_z
Ba1 0.000 0.207 0.250
Ba2 0.000 0.291 0.750
La1 0.120 0.037 0.017
La2 0.137 0.457 0.498
La3 0.247 0.209 0.764
Ir1 0.204 0.385 0.879
# Energy above the most stable polymorph in this dataset = 39 meV/atom
# E = -5.39 eV/atom
# Crystal system = monoclinic
# Formation enthalpy at 0 K = -6.5 kcal/mol of atoms